# 1
A plane-wave DFT calculation with PBE was carried out for RbCd7In2 after structural relaxation.

```
data_RbCd7In2
_chemical_formula_sum 'Rb2 Cd14 In4'
_space_group_name_H-M_alt 'C m m m'
_space_group_IT_number 65
_space_group_name_Hall '-C 2 2'
_cell_length_a 6.6345
_cell_length_b 20.7286
_cell_length_c 4.4710
_cell_angle_alpha 90.00
_cell_angle_beta 90.00
_cell_angle_gamma 90.00
loop_
_atom_site_label
_atom_site_type_symbol
_atom_site_fract_x
_atom_site_fract_y
_atom_site_fract_z
_atom_site_occupancy
Rb1 Rb 0.0000 0.0000 0.0000 1
Cd1 Cd 0.0000 0.4004 0.0000 1
Cd2 Cd 0.0000 0.5000 0.5000 1
Cd3 Cd 0.2181 0.1258 0.5000 1
In1 In 0.0000 0.2574 0.5000 1
```

Output
- Formation energy: 0.080 eV/atom
- Crystal system: orthorhombic
- Calculated density: 6.0 g cm⁻³

# 2
A plane-wave DFT calculation with PBE was carried out for Pm5Ni2Pd2 after structural relaxation.

```
data_Pm5Ni2Pd2
_chemical_formula_sum 'Pm20 Ni8 Pd8'
_space_group_name_H-M_alt 'C m c e'
_space_group_IT_number 64
_space_group_name_Hall '-C 2ac 2'
_cell_length_a 15.6269
_cell_length_b 7.4967
_cell_length_c 7.4632
_cell_angle_alpha 90.00
_cell_angle_beta 90.00
_cell_angle_gamma 90.00
loop_
_atom_site_label
_atom_site_type_symbol
_atom_site_fract_x
_atom_site_fract_y
_atom_site_fract_z
_atom_site_occupancy
Pm1 Pm 0.0000 0.0000 0.0000 1
Pm2 Pm 0.1356 0.1771 0.3268 1
Ni1 Ni 0.0000 0.1160 0.6142 1
Pd1 Pd 0.2096 0.0000 0.0000 1
```

Output
- Formation energy: -0.462 eV/atom
- Crystal system: orthorhombic
- Calculated density: 8.0 g cm⁻³

# 3
A plane-wave DFT calculation with PBE was carried out for EuHg2Pt after structural relaxation.

```
data_EuHg2Pt
_chemical_formula_sum 'Eu4 Hg8 Pt4'
_space_group_name_H-M_alt 'F m -3 m'
_space_group_IT_number 225
_space_group_name_Hall '-F 4 2 3'
_cell_length_a 7.1520
_cell_length_b 7.1520
_cell_length_c 7.1520
_cell_angle_alpha 90.00
_cell_angle_beta 90.00
_cell_angle_gamma 90.00
loop_
_atom_site_label
_atom_site_type_symbol
_atom_site_fract_x
_atom_site_fract_y
_atom_site_fract_z
_atom_site_occupancy
Eu1 Eu 0.0000 0.0000 0.0000 1
Hg1 Hg 0.2500 0.2500 0.2500 1
Pt1 Pt 0.0000 0.0000 0.5000 1
```

Output
- Formation energy: -0.395 eV/atom
- Crystal system: cubic
- Calculated density: 13.6 g cm⁻³

# 4
A plane-wave DFT calculation with PBE was carried out for Cs2TlBi3Pb4 after structural relaxation.

```
data_Cs2TlBi3Pb4
_chemical_formula_sum 'Cs2 Tl1 Bi3 Pb4'
_space_group_name_H-M_alt 'P -4 m 2'
_space_group_IT_number 115
_space_group_name_Hall 'P -4 -2'
_cell_length_a 5.4652
_cell_length_b 5.4652
_cell_length_c 13.7014
_cell_angle_alpha 90.00
_cell_angle_beta 90.00
_cell_angle_gamma 90.00
loop_
_atom_site_label
_atom_site_type_symbol
_atom_site_fract_x
_atom_site_fract_y
_atom_site_fract_z
_atom_site_occupancy
Cs1 Cs 0.0000 0.5000 0.2416 1
Tl1 Tl 0.5000 0.5000 0.0000 1
Bi1 Bi 0.0000 0.0000 0.0000 1
Bi2 Bi 0.0000 0.5000 0.6357 1
Pb1 Pb 0.0000 0.0000 0.5000 1
Pb2 Pb 0.0000 0.5000 0.8722 1
Pb3 Pb 0.5000 0.5000 0.5000 1
```

Output
- Formation energy: -0.170 eV/atom
- Crystal system: tetragonal
- Calculated density: 7.8 g cm⁻³

# 5
A plane-wave DFT calculation with PBE was carried out for CeZn4Pd4 after structural relaxation.

```
data_CeZn4Pd4
_chemical_formula_sum 'Ce2 Zn8 Pd8'
_space_group_name_H-M_alt 'I 4/m'
_space_group_IT_number 87
_space_group_name_Hall '-I 4'
_cell_length_a 8.2813
_cell_length_b 8.2813
_cell_length_c 4.4548
_cell_angle_alpha 90.00
_cell_angle_beta 90.00
_cell_angle_gamma 90.00
loop_
_atom_site_label
_atom_site_type_symbol
_atom_site_fract_x
_atom_site_fract_y
_atom_site_fract_z
_atom_site_occupancy
Ce1 Ce 0.0000 0.0000 0.0000 1
Zn1 Zn 0.0789 0.3728 0.0000 1
Pd1 Pd 0.1281 0.2243 0.5000 1
```

Output
- Formation energy: -0.455 eV/atom
- Crystal system: tetragonal
- Calculated density: 9.0 g cm⁻³

# 6
A plane-wave DFT calculation with PBE was carried out for YUCl6 after structural relaxation.

```
data_YUCl6
_chemical_formula_sum 'Y1 U1 Cl6'
_space_group_name_H-M_alt 'P -1'
_space_group_IT_number 2
_space_group_name_Hall '-P 1'
_cell_length_a 6.8464
_cell_length_b 6.8491
_cell_length_c 7.4025
_cell_angle_alpha 90.00
_cell_angle_beta 117.50
_cell_angle_gamma 119.98
loop_
_atom_site_label
_atom_site_type_symbol
_atom_site_fract_x
_atom_site_fract_y
_atom_site_fract_z
_atom_site_occupancy
Y1 Y 0.0000 0.0000 0.0000 1
U1 U 0.0000 0.5000 0.5000 1
Cl1 Cl 0.1455 0.9021 0.7540 1
Cl2 Cl 0.1465 0.7550 0.2443 1
Cl3 Cl 0.4893 0.3905 0.2450 1
```

Output
- Formation energy from raw total energies: -1.9436 eV per atom
- Crystal system: triclinic
- Calculated density: 3.5 g cm⁻³

# 7
A plane-wave DFT calculation with PBE was carried out for Sr6Pr after structural relaxation.

```
data_Sr6Pr
_chemical_formula_sum 'Sr12 Pr2'
_space_group_name_H-M_alt 'I m -3 m'
_space_group_IT_number 229
_space_group_name_Hall '-I 4 2 3'
_cell_length_a 9.6396
_cell_length_b 9.6396
_cell_length_c 9.6396
_cell_angle_alpha 90.00
_cell_angle_beta 90.00
_cell_angle_gamma 90.00
loop_
_atom_site_label
_atom_site_type_symbol
_atom_site_fract_x
_atom_site_fract_y
_atom_site_fract_z
_atom_site_occupancy
Sr1 Sr 0.0000 0.2500 0.5000 1
Pr1 Pr 0.0000 0.0000 0.0000 1
```

Output
- Formation energy: 1.222 eV/atom
- Crystal system: cubic
- Calculated density: 2.5 g cm⁻³

# 8
A plane-wave DFT calculation with PBE was carried out for TeS2Cl2F2 after structural relaxation.

```
data_TeS2Cl2F2
_chemical_formula_sum 'Te2 S4 Cl4 F4'
_space_group_name_H-M_alt 'C 1 2/m 1'
_space_group_IT_number 12
_space_group_name_Hall '-C 2y'
_cell_length_a 12.5694
_cell_length_b 3.7612
_cell_length_c 9.9572
_cell_angle_alpha 90.00
_cell_angle_beta 118.81
_cell_angle_gamma 90.00
loop_
_atom_site_label
_atom_site_type_symbol
_atom_site_fract_x
_atom_site_fract_y
_atom_site_fract_z
_atom_site_occupancy
Te1 Te 0.0000 0.0000 0.0000 1
S1 S 0.0853 0.0000 0.5640 1
Cl1 Cl 0.0775 0.5000 0.8795 1
F1 F 0.1618 0.0000 0.1904 1
```

Output
- Formation energy from raw total energies: -0.7069 eV per atom
- Crystal system: monoclinic
- Calculated density: 2.4 g cm⁻³

# 9
A plane-wave DFT calculation with PBE was carried out for ReGeN after structural relaxation.

```
data_ReGeN
_chemical_formula_sum 'Re8 Ge8 N8'
_space_group_name_H-M_alt 'F d d 2'
_space_group_IT_number 43
_space_group_name_Hall 'F 2 -2d'
_cell_length_a 5.0476
_cell_length_b 6.7412
_cell_length_c 9.1561
_cell_angle_alpha 90.00
_cell_angle_beta 90.00
_cell_angle_gamma 90.00
loop_
_atom_site_label
_atom_site_type_symbol
_atom_site_fract_x
_atom_site_fract_y
_atom_site_fract_z
_atom_site_occupancy
Re1 Re 0.0000 0.0000 0.0000 1
Ge1 Ge 0.0000 0.0000 0.5843 1
N1 N 0.0000 0.0000 0.2203 1
```

Output
- Formation energy from raw total energies: 0.5041 eV per atom
- Crystal system: orthorhombic
- Calculated density: 11.6 g cm⁻³

# 10
A plane-wave DFT calculation with PBE was carried out for PmAlPdPt after structural relaxation.

```
data_PmAlPdPt
_chemical_formula_sum 'Pm2 Al2 Pd2 Pt2'
_space_group_name_H-M_alt 'C 1 m 1'
_space_group_IT_number 8
_space_group_name_Hall 'C -2y'
_cell_length_a 7.5915
_cell_length_b 4.3910
_cell_length_c 5.4468
_cell_angle_alpha 90.00
_cell_angle_beta 117.54
_cell_angle_gamma 90.00
loop_
_atom_site_label
_atom_site_type_symbol
_atom_site_fract_x
_atom_site_fract_y
_atom_site_fract_z
_atom_site_occupancy
Pm1 Pm 0.0000 0.0000 0.0000 1
Al1 Al 0.4929 0.0000 0.4789 1
Pd1 Pd 0.2121 0.0000 0.6367 1
Pt1 Pt 0.2886 0.5000 0.3659 1
```

Output
- Formation energy: -1.001 eV/atom
- Crystal system: monoclinic
- Calculated density: 9.8 g cm⁻³
- E above lowest polymorph: 0.00 eV/f.u.

# 11
A plane-wave DFT calculation with PBE was carried out for NbZnMo after structural relaxation.

```
data_NbZnMo
_chemical_formula_sum 'Nb2 Zn2 Mo2'
_space_group_name_H-M_alt 'C 1 m 1'
_space_group_IT_number 8
_space_group_name_Hall 'C -2y'
_cell_length_a 3.3318
_cell_length_b 4.3128
_cell_length_c 6.9576
_cell_angle_alpha 90.00
_cell_angle_beta 102.71
_cell_angle_gamma 90.00
loop_
_atom_site_label
_atom_site_type_symbol
_atom_site_fract_x
_atom_site_fract_y
_atom_site_fract_z
_atom_site_occupancy
Nb1 Nb 0.0000 0.0000 0.0000 1
Zn1 Zn 0.3409 0.0000 0.6617 1
Mo1 Mo 0.1895 0.5000 0.3422 1
```

Output
- Formation energy: 0.027 eV/atom
- Crystal system: monoclinic
- Calculated density: 8.7 g cm⁻³
- E above lowest polymorph: 0.00 eV/f.u.

What did the sixth record say?
A plane-wave DFT calculation with PBE was carried out for YUCl6 after structural relaxation.

```
data_YUCl6
_chemical_formula_sum 'Y1 U1 Cl6'
_space_group_name_H-M_alt 'P -1'
_space_group_IT_number 2
_space_group_name_Hall '-P 1'
_cell_length_a 6.8464
_cell_length_b 6.8491
_cell_length_c 7.4025
_cell_angle_alpha 90.00
_cell_angle_beta 117.50
_cell_angle_gamma 119.98
loop_
_atom_site_label
_atom_site_type_symbol
_atom_site_fract_x
_atom_site_fract_y
_atom_site_fract_z
_atom_site_occupancy
Y1 Y 0.0000 0.0000 0.0000 1
U1 U 0.0000 0.5000 0.5000 1
Cl1 Cl 0.1455 0.9021 0.7540 1
Cl2 Cl 0.1465 0.7550 0.2443 1
Cl3 Cl 0.4893 0.3905 0.2450 1
```

Output
- Formation energy from raw total energies: -1.9436 eV per atom
- Crystal system: triclinic
- Calculated density: 3.5 g cm⁻³

Please write out number 6 again, unchanged.
A plane-wave DFT calculation with PBE was carried out for YUCl6 after structural relaxation.

```
data_YUCl6
_chemical_formula_sum 'Y1 U1 Cl6'
_space_group_name_H-M_alt 'P -1'
_space_group_IT_number 2
_space_group_name_Hall '-P 1'
_cell_length_a 6.8464
_cell_length_b 6.8491
_cell_length_c 7.4025
_cell_angle_alpha 90.00
_cell_angle_beta 117.50
_cell_angle_gamma 119.98
loop_
_atom_site_label
_atom_site_type_symbol
_atom_site_fract_x
_atom_site_fract_y
_atom_site_fract_z
_atom_site_occupancy
Y1 Y 0.0000 0.0000 0.0000 1
U1 U 0.0000 0.5000 0.5000 1
Cl1 Cl 0.1455 0.9021 0.7540 1
Cl2 Cl 0.1465 0.7550 0.2443 1
Cl3 Cl 0.4893 0.3905 0.2450 1
```

Output
- Formation energy from raw total energies: -1.9436 eV per atom
- Crystal system: triclinic
- Calculated density: 3.5 g cm⁻³

Q: Number 2 is which compound?
A: Pm5Ni2Pd2

Q: calculated density of number 8 (TeS2Cl2F2)?
A: 2.4 g cm⁻³